A plane-wave DFT calculation with PBEsol was carried out for a geometry-optimized CoS structure.

Properties
Spin magnetization (μB/cell): 0.723
VASP energy (eV per atom): -6.5477

Cell lengths 3.5494, 3.5494, 4.8165 Å; angles 90.00, 90.00, 90.00 degrees
With the nearest neighbours (Å) after each atom.
Space group P4/nmm (No. 129, origin choice 2)
Inequivalent atoms, fractional coordinates:
Co  0.2500  0.7500  0.0000 [2 per cell]  4 S 2.15
S  0.2500  0.2500  0.2531 [2 per cell]  4 Co 2.15